Entry 1:
Here is a geometry-optimized Tl5In2Ga structure from Alexandria. Energies are from PBE.

Computed properties:
For the density of states at the Fermi level, the calculation gives 13.61 states/eV per cell. The uncorrected energy is -80.8 eV per cell. The value obtained for the energy of formation from the pure elements is 0.0176 eV/atom. The size of the total moment comes out at 0.0 Bohr magnetons per cell.

Cell: 3.6293 12.5327 20.2710 Å, 90.00 90.00 90.00°
With the nearest neighbours (Å) after each atom.
Space group Cmcm (No. 63)
Asymmetric unit:
1 Tl 0.0000 0.0136 0.2500 [4 per cell]  2 Ga 3.15, 4 In 3.41
2 Tl 0.0000 0.1394 0.0281 [8 per cell]  2 In 3.31, 9 Tl 3.43-3.68
3 Tl 0.0000 0.4236 0.1098 [8 per cell]  1 Ga 3.19, 4 Tl 3.43-3.56, 3 In 3.53-3.56
4 In 0.0000 0.3070 0.6605 [8 per cell]  2 Ga 2.95
5 Ga 0.0000 0.3084 0.2500 [4 per cell]  4 In 2.95, 4 Tl 3.15-3.19


Entry 2:
Here is a geometry-optimized LaTmTePb structure from Alexandria. Energies are from PBE.

Computed properties:
For the density of states at the Fermi level, the calculation gives 3.98 states/eV per cell. The uncorrected energy is -60.5 eV per cell. The calculation puts the uncorrected formation energy at -0.98 eV/atom. The size of the total moment comes out at 0.0 Bohr magnetons per cell.

Cell: 4.5290 4.5290 21.9714 Å, 90.00 90.00 120.00°
With the nearest neighbours (Å) after each atom.
Space group R3m (No. 160, hexagonal axes)
Asymmetric unit:
1 La 0.0000 0.0000 0.0000 [3 per cell]  3 Pb 3.22, 3 Te 3.31
2 Tm 0.0000 0.0000 0.4937 [3 per cell]  3 Pb 3.09, 3 Te 3.16
3 Te 0.0000 0.0000 0.2410 [3 per cell]  3 Tm 3.16, 3 La 3.31
4 Pb 0.0000 0.0000 0.7524 [3 per cell]  3 Tm 3.09, 3 La 3.22


Copy entry 1 word for word.
Here is a geometry-optimized Tl5In2Ga structure from Alexandria. Energies are from PBE.

Computed properties:
For the density of states at the Fermi level, the calculation gives 13.61 states/eV per cell. The uncorrected energy is -80.8 eV per cell. The value obtained for the energy of formation from the pure elements is 0.0176 eV/atom. The size of the total moment comes out at 0.0 Bohr magnetons per cell.

Cell: 3.6293 12.5327 20.2710 Å, 90.00 90.00 90.00°
With the nearest neighbours (Å) after each atom.
Space group Cmcm (No. 63)
Asymmetric unit:
1 Tl 0.0000 0.0136 0.2500 [4 per cell]  2 Ga 3.15, 4 In 3.41
2 Tl 0.0000 0.1394 0.0281 [8 per cell]  2 In 3.31, 9 Tl 3.43-3.68
3 Tl 0.0000 0.4236 0.1098 [8 per cell]  1 Ga 3.19, 4 Tl 3.43-3.56, 3 In 3.53-3.56
4 In 0.0000 0.3070 0.6605 [8 per cell]  2 Ga 2.95
5 Ga 0.0000 0.3084 0.2500 [4 per cell]  4 In 2.95, 4 Tl 3.15-3.19


Question: Which value of uncorrected energy does entry 2 give?
Answer: -60.5 eV per cell